## A
{"formula": "Ba2MoCl", "functional": "PBE-GGA", "state": "optimized geometry", "lattice": [[3.8526, 0.0000, 0.0000], [0.0000, 3.8462, 0.0000], [-0.3541, 0.0000, 8.8139]], "species": ["Ba", "Ba", "Mo", "Cl"], "fractional_positions": [[0.0059, 0.0000, 0.2574], [0.9941, 0.0000, 0.7426], [0.5000, 0.5000, 0.5000], [0.5000, 0.5000, 0.0000]], "magmom_total_mub_per_fu": 2.84, "crystal_system": "monoclinic", "sg": "P2/m (10)", "density_g_cm3": 5.163}

***

## B
{"formula": "Ba2MoCl", "functional": "PBE-GGA", "state": "optimized geometry", "lattice": [[-2.3133, 2.3133, 7.2194], [2.3133, -2.3133, 7.2194], [2.3133, 2.3133, -7.2194]], "species": ["Ba", "Ba", "Mo", "Cl"], "fractional_positions": [[0.0000, 0.0000, 0.0000], [0.7500, 0.2500, 0.5000], [0.5000, 0.5000, 0.0000], [0.2500, 0.7500, 0.5000]], "magmom_total_mub_per_fu": 3.96, "crystal_system": "tetragonal", "sg": "I-4m2 (119)", "density_g_cm3": 4.363}

***

Going by the energies, A is most stable and the next is 0.281 eV/atom up.